Entry 1:
# La2YMnSe

A geometry-optimized La2YMnSe structure (PBEsol, Alexandria).

Summary:
* formation energy without anion corrections: -0.185 eV per atom
* total moment: 0.512 μB/atom
* uncorrected energy: -6.410 eV/atom

abc: 5.724 5.724 4.561
angles: 90.00 90.00 90.00
Space group P4/mmm (No. 123)
Unique sites:
La1 0.000 0.500 0.000 [2 per cell]
Y1 0.000 0.000 0.500 [1 per cell]
Mn1 0.500 0.500 0.500 [1 per cell]
Se1 0.500 0.500 0.000 [1 per cell]

Entry 2:
# Li3MgC

A geometry-optimized Li3MgC structure (PBEsol, Alexandria).

Summary:
* energy of formation: 0.406 eV/atom
* total moment: 0.000 μB/atom
* uncorrected energy: -3.046 eV/atom

abc: 4.091 4.091 4.091
angles: 90.00 90.00 90.00
Space group Pm-3m (No. 221)
Unique sites:
Li1 0.000 0.000 0.500 [3 per cell]
Mg1 0.500 0.500 0.500 [1 per cell]
C1 0.000 0.000 0.000 [1 per cell]

- Look up the uncorrected energy of the second one.
  -3.046 eV/atom